{
  "formula": "CrSnO2",
  "functional": "GGA+U",
  "state": "relaxed",
  "dos_at_fermi_per_ev_cell": 1.82,
  "dft_energy_ev_per_atom": -6.671,
  "total_magnetization_mub_per_cell": 6.8,
  "lattice": [[5.920, -0.090, 0.313], [-0.740, 2.956, -0.003], [-1.621, -1.979, 6.698]],
  "species": ["Cr", "Cr", "Sn", "Sn", "O", "O", "O", "O"],
  "frac_coords": [[0.144, 0.135, 0.355], [0.466, 0.955, 0.674], [0.588, 0.769, 0.177], [0.022, 0.320, 0.852], [0.502, 0.384, 0.496], [0.107, 0.706, 0.533], [0.202, 0.572, 0.173], [0.408, 0.517, 0.856]]
}